(w)
## Mn3Pt4 (PBE-GGA)

Data for a relaxed Mn3Pt4 crystal.

Lattice parameters (Å, degrees): 4.7727 4.7727 5.0594 90.00 90.00 120.00
Space group P6/mmm (No. 191)
Symmetry-distinct sites (fractional):
Mn 0.0000 0.5000 0.0000 [3 per cell]
Pt 0.0000 0.0000 0.2538 [2 per cell]
Pt 0.3333 0.6667 0.5000 [2 per cell]

***

(x)
## Mn3Pt4 (PBE-GGA)

Data for a relaxed Mn3Pt4 crystal.

Lattice parameters (Å, degrees): 7.423 4.493 7.013 90.00 114.21 90.00
Space group C2/m (No. 12)
Symmetry-distinct sites (fractional):
Mn 0.000 0.000 0.000 [2 per cell]
Mn 0.066 0.500 0.715 [4 per cell]
Pt 0.138 0.000 0.405 [4 per cell]
Pt 0.214 0.500 0.136 [4 per cell]

***

Relative calculated energies, zero for the most stable structure, unit meV per atom: (w) 297; (x) 0.